1.
This record from Alexandria describes Sc2CoRh at its PBEsol-relaxed geometry. The functional is SCAN.

a = 5.3588 Å, b = 5.3588 Å, c = 5.3588 Å
α = 145.09°, β = 134.49°, γ = 58.61°
Positions (direct):
Sc 0.0000 0.0000 0.0000
Sc 0.7286 0.2286 0.5000
Co 0.2350 0.7350 0.5000
Rh 0.4790 0.4790 0.0000

**Energy of formation**: -0.4867 eV/atom
**Crystal system**: orthorhombic
**SG**: Imm2 (44)
**Calculated density**: 6712 kg/m3
**Total energy**: -20.374 eV per atom

2.
This record from Alexandria describes Sc2CoRh at its PBEsol-relaxed geometry. The functional is SCAN.

a = 4.4272 Å, b = 4.4272 Å, c = 4.4272 Å
α = 60.00°, β = 60.00°, γ = 60.00°
Positions (direct):
Sc 0.2500 0.2500 0.2500
Sc 0.7500 0.7500 0.7500
Co 0.0000 0.0000 0.0000
Rh 0.5000 0.5000 0.5000

**Energy of formation**: -0.7497 eV/atom
**Crystal system**: cubic
**SG**: Fm-3m (225)
**Calculated density**: 6813 kg/m3
**Total energy**: -20.637 eV per atom

3.
This record from Alexandria describes ScCoRh at its PBEsol-relaxed geometry. The functional is SCAN.

a = 2.8695 Å, b = 2.8695 Å, c = 6.1245 Å
α = 90.00°, β = 90.00°, γ = 120.00°
Positions (direct):
Sc 0.0000 0.0000 0.0000
Co 0.6667 0.3333 0.6700
Rh 0.3333 0.6667 0.3454

**Energy of formation**: -0.0309 eV/atom
**Crystal system**: trigonal
**SG**: P3m1 (156)
**Calculated density**: 7863 kg/m3
**Total energy**: -21.802 eV per atom
**ΔE to the lowest computed polymorph**: 1.23 eV/f.u.

4.
This record from Alexandria describes CoRh2Se4 at its PBEsol-relaxed geometry. The functional is SCAN.

a = 6.1908 Å, b = 6.1908 Å, c = 6.2874 Å
α = 118.22°, β = 118.22°, γ = 34.23°
Positions (direct):
Co 0.0000 0.0000 0.0000
Rh 0.2660 0.2660 0.2864
Rh 0.7340 0.7340 0.7136
Se 0.1110 0.1110 0.4418
Se 0.3725 0.3725 0.0264
Se 0.6275 0.6275 0.9736
Se 0.8890 0.8890 0.5582

**Crystal system**: monoclinic
**SG**: C2/m (12)
**Calculated density**: 8184 kg/m3
**Total energy**: -23.984 eV per atom

> The highest calculated density belongs to which entry?

CoRh2Se4